This record from Alexandria via LeMat-Bulk describes a relaxed structure of Tl2Si. The functional is GGA-PBE.

## Properties
The value obtained for the uncorrected formation energy is 0.211 eV per atom. The density comes out at 8.6 g/cm3. The value obtained for the total moment is 0.0 μB per formula unit.

Cell: 12.1186 3.7378 7.6465 Å, 90.00 103.14 90.00°
With the nearest neighbours (Å) after each atom.
Space group Cm (No. 8)
Asymmetric unit:
Tl  0.0000  0.0000  0.0000 (multiplicity 2)  4 Si 3.16-3.39, 2 Tl 3.48-3.50
Tl  0.0985  0.0000  0.4639 (multiplicity 2)  3 Si 3.11-3.26, 4 Tl 3.43-3.48
Tl  0.2696  0.5000  0.2056 (multiplicity 2)  3 Si 3.16-3.19, 3 Tl 3.50-3.51
Tl  0.3920  0.0000  0.5891 (multiplicity 2)  2 Si 2.90-3.07
Si  0.1405  0.5000  0.7975 (multiplicity 2)  2 Si 2.37
Si  0.2630  0.0000  0.8652 (multiplicity 2)  2 Si 2.37